DFT (PBE-GGA) results for a geometry-optimized Tb2PrNd3Se6 structure.

Values from the calculation:
**D(E_F)**: 0.460 states/eV/atom
**Formation energy from raw total energies**: -1.8197 eV per atom

```
data_Tb2PrNd3Se6
_chemical_formula_sum 'Tb4 Pr2 Nd6 Se12'
_symmetry_space_group_name_H-M 'C 1 2/m 1'
_symmetry_Int_Tables_number 12
_cell_length_a 7.233
_cell_length_b 12.585
_cell_length_c 7.280
_cell_angle_alpha 90.00
_cell_angle_beta 109.41
_cell_angle_gamma 90.00
loop_
_symmetry_equiv_pos_as_xyz
'x,y,z'
'-x,-y,-z'
'-x,y,-z'
'x,-y,z'
'x+1/2,y+1/2,z'
'-x+1/2,-y+1/2,-z'
'-x+1/2,y+1/2,-z'
'x+1/2,-y+1/2,z'
loop_
_atom_site_label
_atom_site_type_symbol
_atom_site_fract_x
_atom_site_fract_y
_atom_site_fract_z
Tb1 Tb 0.000 0.166 0.000
Pr1 Pr 0.000 0.500 0.000
Nd1 Nd 0.000 0.000 0.500
Nd2 Nd 0.000 0.340 0.500
Se1 Se 0.237 0.000 0.239
Se2 Se 0.247 0.172 0.756
```


DFT (PBE-GGA) results for a geometry-optimized Tb2PrNdSe4 structure.

Values from the calculation:
**D(E_F)**: 0.532 states/eV/atom
**Formation energy from raw total energies**: -1.8100 eV per atom

```
data_Tb2PrNdSe4
_chemical_formula_sum 'Tb2 Pr1 Nd1 Se4'
_symmetry_space_group_name_H-M 'P 1 2/m 1'
_symmetry_Int_Tables_number 10
_cell_length_a 7.170
_cell_length_b 4.106
_cell_length_c 7.367
_cell_angle_alpha 90.00
_cell_angle_beta 108.67
_cell_angle_gamma 90.00
loop_
_symmetry_equiv_pos_as_xyz
'x,y,z'
'-x,-y,-z'
'-x,y,-z'
'x,-y,z'
loop_
_atom_site_label
_atom_site_type_symbol
_atom_site_fract_x
_atom_site_fract_y
_atom_site_fract_z
Tb1 Tb 0.000 0.000 0.000
Tb2 Tb 0.500 0.500 0.000
Pr1 Pr 0.000 0.500 0.500
Nd1 Nd 0.500 0.000 0.500
Se1 Se 0.246 0.500 0.236
Se2 Se 0.256 0.000 0.765
```


The calculation returns the following ρ values, one per record and in order: 7.25 7.43 g/cm3.